## InNiB4 (PBE)

Data for InNiB4 after structural relaxation.

## Properties
Relative energy among the computed polymorphs (eV per atom): 0.002
SG: P6/mmm
Mass density (kg/m3): 6127

Cell lengths 3.0893, 3.0893, 7.1072 Å; angles 90.00, 90.00, 120.00 degrees
Last column: nearest neighbours and their distance in Å.
Element x y z (fractional)
B 0.6667 0.3333 0.2012  3 B 1.78
B 0.3333 0.6667 0.2012  3 B 1.78
B 0.6667 0.3333 0.7988  3 B 1.78
B 0.3333 0.6667 0.7988  3 B 1.78
In 0.0000 0.0000 0.5000  12 B 2.77, 6 In 3.09
Ni 0.0000 0.0000 0.0000  12 B 2.29